No. 1
Compound: LiCeInSn
Source: Alexandria via LeMat-Bulk
Functional: GGA-PBE
Structure: relaxed

Cell: 7.3846 7.3846 7.3846 Å, 90.00 90.00 90.00°
Last column: nearest neighbours and their distance in Å.
Positions (direct):
Li (0.0000, 0.0000, 0.0000)  4 In 3.20, 4 Sn 3.20
Li (0.0000, 0.5000, 0.5000)  4 In 3.20, 4 Sn 3.20
Li (0.5000, 0.0000, 0.5000)  4 In 3.20, 4 Sn 3.20
Li (0.5000, 0.5000, 0.0000)  4 In 3.20, 4 Sn 3.20
Ce (0.0000, 0.0000, 0.5000)  4 In 3.20, 4 Sn 3.20
Ce (0.0000, 0.5000, 0.0000)  4 In 3.20, 4 Sn 3.20
Ce (0.5000, 0.0000, 0.0000)  4 In 3.20, 4 Sn 3.20
Ce (0.5000, 0.5000, 0.5000)  4 In 3.20, 4 Sn 3.20
In (0.2500, 0.2500, 0.7500)  4 Ce 3.20, 4 Li 3.20
In (0.2500, 0.7500, 0.2500)  4 Ce 3.20, 4 Li 3.20
In (0.7500, 0.2500, 0.2500)  4 Ce 3.20, 4 Li 3.20
In (0.7500, 0.7500, 0.7500)  4 Ce 3.20, 4 Li 3.20
Sn (0.2500, 0.2500, 0.2500)  4 Ce 3.20, 4 Li 3.20
Sn (0.2500, 0.7500, 0.7500)  4 Ce 3.20, 4 Li 3.20
Sn (0.7500, 0.2500, 0.7500)  4 Ce 3.20, 4 Li 3.20
Sn (0.7500, 0.7500, 0.2500)  4 Ce 3.20, 4 Li 3.20

Computed properties:
The calculation puts the energy of formation from the pure elements at -0.385 eV per atom. The polymorph energy (0 for the lowest one) is 0.13 eV/f.u. The calculation puts the density of states at the Fermi level at 1.3821 states/eV/atom.

No. 2
Compound: LiCeInSn
Source: Alexandria via LeMat-Bulk
Functional: GGA-PBE
Structure: relaxed

Cell: 4.5248 4.6096 4.8093 Å, 90.00 90.00 90.00°
Last column: nearest neighbours and their distance in Å.
Positions (direct):
Li (0.0000, 0.0000, 0.0000)  4 In 3.23, 4 Sn 3.30, 4 Ce 3.33
Ce (0.0000, 0.5000, 0.5000)  4 Sn 3.23, 4 In 3.30, 4 Li 3.33
In (0.5000, 0.5000, 0.0000)  4 Li 3.23, 4 Ce 3.30, 4 Sn 3.33
Sn (0.5000, 0.0000, 0.5000)  4 Ce 3.23, 4 Li 3.30, 4 In 3.33

Computed properties:
The calculation puts the energy of formation from the pure elements at -0.417 eV per atom. The polymorph energy (0 for the lowest one) is 0.00 eV/f.u. The calculation puts the density of states at the Fermi level at 1.6143 states/eV/atom.

No. 3
Compound: SrLiCeIn
Source: Alexandria via LeMat-Bulk
Functional: GGA-PBE
Structure: relaxed

Cell: 7.9172 7.9172 7.9172 Å, 90.00 90.00 90.00°
Last column: nearest neighbours and their distance in Å.
Positions (direct):
Sr (0.0000, 0.0000, 0.0000)  4 In 3.43, 4 Li 3.43
Sr (0.0000, 0.5000, 0.5000)  4 In 3.43, 4 Li 3.43
Sr (0.5000, 0.0000, 0.5000)  4 In 3.43, 4 Li 3.43
Sr (0.5000, 0.5000, 0.0000)  4 In 3.43, 4 Li 3.43
Li (0.2500, 0.2500, 0.7500)  4 Sr 3.43, 4 Ce 3.43
Li (0.2500, 0.7500, 0.2500)  4 Sr 3.43, 4 Ce 3.43
Li (0.7500, 0.2500, 0.2500)  4 Sr 3.43, 4 Ce 3.43
Li (0.7500, 0.7500, 0.7500)  4 Sr 3.43, 4 Ce 3.43
Ce (0.0000, 0.0000, 0.5000)  4 Li 3.43, 4 In 3.43
Ce (0.0000, 0.5000, 0.0000)  4 Li 3.43, 4 In 3.43
Ce (0.5000, 0.0000, 0.0000)  4 Li 3.43, 4 In 3.43
Ce (0.5000, 0.5000, 0.5000)  4 Li 3.43, 4 In 3.43
In (0.2500, 0.2500, 0.2500)  4 Ce 3.43, 4 Sr 3.43
In (0.2500, 0.7500, 0.7500)  4 Ce 3.43, 4 Sr 3.43
In (0.7500, 0.2500, 0.7500)  4 Ce 3.43, 4 Sr 3.43
In (0.7500, 0.7500, 0.2500)  4 Ce 3.43, 4 Sr 3.43

Computed properties:
The calculation puts the energy of formation from the pure elements at -0.094 eV per atom. The calculation puts the density of states at the Fermi level at 2.6833 states/eV/atom.

No. 4
Compound: LiTbCe2In4
Source: Alexandria via LeMat-Bulk
Functional: GGA-PBE
Structure: relaxed

Cell: 9.3475 9.3475 9.3475 Å, 32.86 32.86 32.86°
Last column: nearest neighbours and their distance in Å.
Positions (direct):
Li (0.0000, 0.0000, 0.0000)  8 In 3.24-3.27
Tb (0.5000, 0.5000, 0.5000)  8 In 3.26-3.35
Ce (0.2540, 0.2540, 0.2540)  8 In 3.17-3.47
Ce (0.7460, 0.7460, 0.7460)  8 In 3.17-3.47
In (0.1232, 0.1232, 0.1232)  3 Tb 3.26, 1 Li 3.27, 4 Ce 3.27-3.47
In (0.3737, 0.3737, 0.3737)  4 Ce 3.17-3.22, 3 Li 3.24, 1 Tb 3.35
In (0.6263, 0.6263, 0.6263)  4 Ce 3.17-3.22, 3 Li 3.24, 1 Tb 3.35
In (0.8768, 0.8768, 0.8768)  3 Tb 3.26, 1 Li 3.27, 4 Ce 3.27-3.47

Computed properties:
The calculation puts the energy of formation from the pure elements at -0.355 eV per atom. The calculation puts the density of states at the Fermi level at 1.7393 states/eV/atom.

energy of formation from the pure elements of number 2 (LiCeInSn)?
-0.417 eV per atom

Which of these has the lowest density of states at the Fermi level?
number 1

Which of these has the highest density of states at the Fermi level?
SrLiCeIn